Entry from Alexandria via LeMat-Bulk: a geometry-optimized DyZn5Pd2 structure (PBE-GGA).

## Properties
The calculation puts the total magnetization at 0.00 μB/f.u. Its energy of formation from the pure elements is -0.421 eV/atom. Its crystal system is orthorhombic.

```
data_DyZn5Pd2
_space_group_name_H-M_alt 'P 1'
_space_group_IT_number 1
_space_group_name_Hall 'P 1'
_cell_length_a 6.5276
_cell_length_b 6.5276
_cell_length_c 6.5276
_cell_angle_alpha 147.35
_cell_angle_beta 108.10
_cell_angle_gamma 81.22
loop_
_atom_site_label
_atom_site_fract_x
_atom_site_fract_y
_atom_site_fract_z
Dy1 0.0000 0.0000 0.0000
Zn1 0.1677 0.3611 0.8066
Zn2 0.4456 0.6389 0.8066
Zn3 0.5000 0.0000 0.5000
Zn4 0.5544 0.3611 0.1934
Zn5 0.8323 0.6389 0.1934
Pd1 0.2388 0.7388 0.5000
Pd2 0.7612 0.2612 0.5000
```